VASP calculation (PBE with a Hubbard U) on Al2Cr2O7 after structural relaxation.

POSCAR file:
```
Al2Cr2O7
1.0
5.873 -3.180 0.000
5.873 3.180 0.000
-4.235 0.000 5.714
Al Cr O
4 4 14
Direct
0.000 0.000 0.000
0.000 0.000 0.500
0.000 0.500 0.000
0.500 0.000 0.000
0.000 0.500 0.500
0.500 0.000 0.500
0.500 0.500 0.000
0.500 0.500 0.500
0.070 0.657 0.861
0.130 0.130 0.827
0.139 0.672 0.507
0.325 0.325 0.647
0.328 0.861 0.493
0.343 0.930 0.139
0.382 0.382 0.148
0.618 0.618 0.852
0.657 0.070 0.861
0.672 0.139 0.507
0.675 0.675 0.353
0.861 0.328 0.493
0.870 0.870 0.173
0.930 0.343 0.139
```

Properties
- Fermi-level density of states: 1.3 states/eV/f.u.
- DFT total energy: -7.14 eV/atom
- Total moment: 3.999 μB per formula unit
- Space group: No. 12